Entry 1:
# SmMg3Se4O12 | the Alexandria database | PBE-GGA | optimized geometry
data_SmMg3Se4O12
_symmetry_space_group_name_H-M 'R 3 2'
_symmetry_Int_Tables_number 155
_symmetry_space_group_name_Hall 'R 3 2"'
_cell_length_a 10.7306
_cell_length_b 10.7306
_cell_length_c 7.9635
_cell_angle_alpha 90.00
_cell_angle_beta 90.00
_cell_angle_gamma 120.00
loop_
_atom_site_label
_atom_site_type_symbol
_atom_site_fract_x
_atom_site_fract_y
_atom_site_fract_z
Sm1 Sm 0.0000 0.0000 0.0000
Mg1 Mg 0.0000 0.5777 0.0000
Se1 Se 0.0000 0.0000 0.5000
Se2 Se 0.0000 0.3956 0.5000
O1 O 0.0000 0.5561 0.5000
O2 O 0.0000 0.8277 0.5000
O3 O 0.0536 0.1895 0.1935
# - formation energy from raw total energies (meV per atom) = -1399

Entry 2:
# Tb4Pr2Cd | the Alexandria database | PBE-GGA | optimized geometry
data_Tb4Pr2Cd
_symmetry_space_group_name_H-M 'C 1 2/m 1'
_symmetry_Int_Tables_number 12
_symmetry_space_group_name_Hall '-C 2y'
_cell_length_a 17.227
_cell_length_b 3.622
_cell_length_c 8.269
_cell_angle_alpha 90.00
_cell_angle_beta 117.63
_cell_angle_gamma 90.00
loop_
_atom_site_label
_atom_site_type_symbol
_atom_site_fract_x
_atom_site_fract_y
_atom_site_fract_z
Tb1 Tb 0.059 0.000 0.236
Tb2 Tb 0.141 0.500 0.966
Pr1 Pr 0.214 0.500 0.633
Cd1 Cd 0.000 0.500 0.500
# - formation energy from the elements (eV/atom) = 0.01

Entry 3:
# NaLaAgBi | the Alexandria database | PBE-GGA | optimized geometry
data_NaLaAgBi
_symmetry_space_group_name_H-M 'F -4 3 m'
_symmetry_Int_Tables_number 216
_symmetry_space_group_name_Hall 'F -4 2 3'
_cell_length_a 7.708
_cell_length_b 7.708
_cell_length_c 7.708
_cell_angle_alpha 90.00
_cell_angle_beta 90.00
_cell_angle_gamma 90.00
loop_
_atom_site_label
_atom_site_type_symbol
_atom_site_fract_x
_atom_site_fract_y
_atom_site_fract_z
Na1 Na 0.000 0.000 0.000
La1 La 0.000 0.000 0.500
Ag1 Ag 0.250 0.250 0.750
Bi1 Bi 0.250 0.250 0.250
# - formation energy from the elements (eV/atom) = -0.46

Entry 4:
# NaPmYIn | the Alexandria database | PBE-GGA | optimized geometry
data_NaPmYIn
_symmetry_space_group_name_H-M 'F -4 3 m'
_symmetry_Int_Tables_number 216
_symmetry_space_group_name_Hall 'F -4 2 3'
_cell_length_a 7.724
_cell_length_b 7.724
_cell_length_c 7.724
_cell_angle_alpha 90.00
_cell_angle_beta 90.00
_cell_angle_gamma 90.00
loop_
_atom_site_label
_atom_site_type_symbol
_atom_site_fract_x
_atom_site_fract_y
_atom_site_fract_z
Na1 Na 0.000 0.000 0.000
Pm1 Pm 0.250 0.250 0.250
Y1 Y 0.250 0.250 0.750
In1 In 0.000 0.000 0.500
# - formation energy from the elements (eV/atom) = -0.16

Entry 5:
# LaHfAsS2 | the Alexandria database | PBE-GGA | optimized geometry
data_LaHfAsS2
_symmetry_space_group_name_H-M 'P 4/m m m'
_symmetry_Int_Tables_number 123
_symmetry_space_group_name_Hall '-P 4 2'
_cell_length_a 4.750
_cell_length_b 4.750
_cell_length_c 7.035
_cell_angle_alpha 90.00
_cell_angle_beta 90.00
_cell_angle_gamma 90.00
loop_
_atom_site_label
_atom_site_type_symbol
_atom_site_fract_x
_atom_site_fract_y
_atom_site_fract_z
La1 La 0.000 0.000 0.000
Hf1 Hf 0.000 0.000 0.500
As1 As 0.500 0.500 0.000
S1 S 0.000 0.500 0.500
# - formation energy from raw total energies (meV per atom) = -453

Entry 6:
# MgAl7Cu5 | the Alexandria database | PBE-GGA | optimized geometry
data_MgAl7Cu5
_symmetry_space_group_name_H-M 'I m m 2'
_symmetry_Int_Tables_number 44
_symmetry_space_group_name_Hall 'I 2 -2'
_cell_length_a 5.072
_cell_length_b 8.773
_cell_length_c 8.630
_cell_angle_alpha 90.00
_cell_angle_beta 90.00
_cell_angle_gamma 90.00
loop_
_atom_site_label
_atom_site_type_symbol
_atom_site_fract_x
_atom_site_fract_y
_atom_site_fract_z
Mg1 Mg 0.000 0.000 0.000
Al1 Al 0.000 0.000 0.339
Al2 Al 0.000 0.000 0.644
Al3 Al 0.000 0.301 0.504
Al4 Al 0.000 0.345 0.989
Al5 Al 0.000 0.500 0.267
Cu1 Cu 0.000 0.500 0.725
Cu2 Cu 0.249 0.254 0.249
# - formation energy from the elements (eV/atom) = -0.18

Entry 7:
# TlSeCl2 | the Alexandria database | PBE-GGA | optimized geometry
data_TlSeCl2
_symmetry_space_group_name_H-M 'F -4 3 m'
_symmetry_Int_Tables_number 216
_symmetry_space_group_name_Hall 'F -4 2 3'
_cell_length_a 7.209
_cell_length_b 7.209
_cell_length_c 7.209
_cell_angle_alpha 90.00
_cell_angle_beta 90.00
_cell_angle_gamma 90.00
loop_
_atom_site_label
_atom_site_type_symbol
_atom_site_fract_x
_atom_site_fract_y
_atom_site_fract_z
Tl1 Tl 0.000 0.000 0.000
Se1 Se 0.250 0.250 0.750
Cl1 Cl 0.000 0.000 0.500
Cl2 Cl 0.250 0.250 0.250
# - formation energy from raw total energies (meV per atom) = 62

Entry 8:
# PrHo2RuO8 | the Alexandria database | PBE-GGA | optimized geometry
data_PrHo2RuO8
_symmetry_space_group_name_H-M 'P 1 2/m 1'
_symmetry_Int_Tables_number 10
_symmetry_space_group_name_Hall '-P 2y'
_cell_length_a 5.062
_cell_length_b 6.870
_cell_length_c 5.072
_cell_angle_alpha 90.00
_cell_angle_beta 90.53
_cell_angle_gamma 90.00
loop_
_atom_site_label
_atom_site_type_symbol
_atom_site_fract_x
_atom_site_fract_y
_atom_site_fract_z
Pr1 Pr 0.000 0.000 0.000
Ho1 Ho 0.500 0.250 0.500
Ru1 Ru 0.000 0.500 0.000
O1 O 0.188 0.298 0.186
O2 O 0.265 0.500 0.734
O3 O 0.317 0.000 0.681
# - formation energy from raw total energies (meV per atom) = -2356